# PBE Cs3Mn5N12, optimized geometry
# size of the total moment = 3.2 μB/f.u.
# ρ = 4.920 g/cm3
# formation energy (no corrections) = 0.52 eV per atom
# DOS(E_F) = 106.02 states/eV per cell
# uncorrected energy = -6.8978 eV per atom
data_Cs3Mn5N12
_cell_length_a 13.146
_cell_length_b 13.146
_cell_length_c 13.146
_cell_angle_alpha 90.00
_cell_angle_beta 90.00
_cell_angle_gamma 90.00
_symmetry_space_group_name_H-M 'I a -3 d'
_symmetry_Int_Tables_number 230
_symmetry_space_group_name_Hall '-I 4bd 2c 3'
loop_
_atom_site_label
_atom_site_fract_x
_atom_site_fract_y
_atom_site_fract_z
Cs1 0.000 0.250 0.125
Mn1 0.000 0.000 0.000
Mn2 0.000 0.250 0.375
N1 0.014 0.142 0.947

---

# PBE CsMn3N, optimized geometry
# size of the total moment = 12.7 μB/f.u.
# ρ = 3.800 g/cm3
# formation energy (no corrections) = 3.30 eV per atom
# energy above the lowest structure with this stoichiometry = 2.323 eV/atom
# DOS(E_F) = 3.64 states/eV per cell
# uncorrected energy = -4.0385 eV per atom
data_CsMn3N
_cell_length_a 5.145
_cell_length_b 5.145
_cell_length_c 5.145
_cell_angle_alpha 90.00
_cell_angle_beta 90.00
_cell_angle_gamma 90.00
_symmetry_space_group_name_H-M 'P m -3 m'
_symmetry_Int_Tables_number 221
_symmetry_space_group_name_Hall '-P 4 2 3'
loop_
_atom_site_label
_atom_site_fract_x
_atom_site_fract_y
_atom_site_fract_z
Cs1 0.000 0.000 0.000
Mn1 0.000 0.000 0.500
N1 0.500 0.500 0.500

---

# PBE CsMn2N2, optimized geometry
# size of the total moment = 0.0 μB/f.u.
# ρ = 4.934 g/cm3
# formation energy (no corrections) = 0.11 eV per atom
# DOS(E_F) = 19.18 states/eV per cell
# uncorrected energy = -7.0546 eV per atom
data_CsMn2N2
_cell_length_a 3.770
_cell_length_b 3.770
_cell_length_c 12.826
_cell_angle_alpha 90.00
_cell_angle_beta 90.00
_cell_angle_gamma 90.00
_symmetry_space_group_name_H-M 'I 4/m m m'
_symmetry_Int_Tables_number 139
_symmetry_space_group_name_Hall '-I 4 2'
loop_
_atom_site_label
_atom_site_fract_x
_atom_site_fract_y
_atom_site_fract_z
Cs1 0.000 0.000 0.000
Mn1 0.000 0.000 0.254
N1 0.000 0.500 0.250